No. 1
Compound: YRu2Au
Source: Alexandria
Functional: PBE
Structure: relaxed

Values from the calculation:
distance to the lowest polymorph of the same formula = 147 meV per atom
E_form = 39 kJ/mol of formula units
VASP energy = -6.9731 eV/atom

Cell: 9.4232 3.2051 5.0609 Å, 90.00 103.87 90.00°
Last column: nearest neighbours and their distance in Å.
Space group C2/m (No. 12)
One atom of each set of equivalent atoms:
Y (0.0000, 0.0000, 0.0000) [2 per cell]  4 Au 3.00, 6 Ru 3.02-3.04, 2 Y 3.21
Ru (0.2411, 0.0000, 0.6929) [4 per cell]  2 Ru 2.56, 3 Au 2.76-2.84
Au (0.0000, 0.5000, 0.5000) [2 per cell]  6 Ru 2.76-2.84, 4 Y 3.00

No. 2
Compound: TmPa4Ge5
Source: Alexandria
Functional: PBE
Structure: relaxed

Values from the calculation:
E_form = -488 kJ/mol of formula units
VASP energy = -7.0596 eV/atom

Cell: 4.1417 5.8384 20.5834 Å, 90.00 90.00 90.00°
Last column: nearest neighbours and their distance in Å.
Space group Immm (No. 71)
One atom of each set of equivalent atoms:
Tm (0.0000, 0.0000, 0.0000) [2 per cell]  6 Ge 2.92-2.93
Pa (0.0000, 0.0000, 0.1989) [4 per cell]  6 Ge 2.90-2.94
Pa (0.0000, 0.0000, 0.4008) [4 per cell]  6 Ge 2.91-2.93
Ge (0.0000, 0.5000, 0.0000) [2 per cell]  4 Pa 2.91, 2 Tm 2.92
Ge (0.0000, 0.5000, 0.1999) [4 per cell]  6 Pa 2.92-2.94
Ge (0.0000, 0.5000, 0.3995) [4 per cell]  4 Pa 2.90-2.92, 2 Tm 2.93

Number 1: density of states at the Fermi level 10.22 states/eV per cell, calculated volume 148.39 Å³ per cell. Number 2: density of states at the Fermi level 20.54 states/eV per cell, calculated volume 497.72 Å³ per cell.